(1)
! PBE PrHoPt, optimized geometry; values from VASP
&SYSTEM
  ibrav = 0, nat = 6, ntyp = 3
/
ATOMIC_SPECIES
Pr 140.91 Pr.upf
Ho 164.93 Ho.upf
Pt 195.08 Pt.upf
CELL_PARAMETERS angstrom
4.7844 0.0000 0.0000
-0.0099 4.7866 0.0000
-0.2883 -0.2624 7.1573
ATOMIC_POSITIONS angstrom
Pr 1.0636 1.0785 2.7310
Pr 3.4226 3.4457 4.4263
Ho 1.2083 3.5729 0.0006
Ho 3.2779 0.9514 7.1568
Pt 0.8581 0.8911 5.5778
Pt 3.6280 3.6332 1.5796
! **Distance to the lowest polymorph of the same formula**: 15 meV per atom
! **ΔE_f**: -0.8476 eV/atom

(2)
! PBE Li2PdAuO, optimized geometry; values from VASP
&SYSTEM
  ibrav = 0, nat = 5, ntyp = 4
/
ATOMIC_SPECIES
Li 6.94 Li.upf
Pd 106.42 Pd.upf
Au 196.97 Au.upf
O 16.00 O.upf
CELL_PARAMETERS angstrom
3.9293 0.0000 0.0000
0.0000 3.9293 0.0000
0.0000 0.0000 4.3270
ATOMIC_POSITIONS angstrom
Li 0.0000 1.9646 0.0000
Li 1.9646 0.0000 0.0000
Pd 0.0000 0.0000 2.1635
Au 1.9646 1.9646 2.1635
O 0.0000 0.0000 0.0000
! **E_form (uncorrected)**: -0.87 eV/atom

(3)
! PBE Ac12Pr7Dy, optimized geometry; values from VASP
&SYSTEM
  ibrav = 0, nat = 20, ntyp = 3
/
ATOMIC_SPECIES
Ac 227.00 Ac.upf
Pr 140.91 Pr.upf
Dy 162.50 Dy.upf
CELL_PARAMETERS angstrom
10.4592 6.0386 2.2412
-10.4592 6.0386 2.2412
0.0000 -12.0773 2.2412
ATOMIC_POSITIONS angstrom
Ac -3.6230 -2.1024 2.1123
Ac -4.3062 -7.4692 3.3574
Ac -8.6216 -0.0053 3.3663
Ac -0.0092 4.1888 2.1123
Ac 3.6322 -2.0864 2.1123
Ac -4.3154 7.4639 3.3574
Ac 4.3154 -7.4639 3.3663
Ac -3.6322 2.0864 4.6114
Ac 0.0092 -4.1888 4.6114
Ac 8.6216 0.0053 3.3574
Ac 4.3062 7.4692 3.3663
Ac 3.6230 2.1024 4.6114
Pr -2.5571 1.4651 1.2906
Pr 0.0097 -2.9470 1.2906
Pr 2.5473 1.4819 1.2906
Pr 0.0000 0.0000 3.3618
Pr -2.5473 -1.4819 5.4331
Pr -0.0097 2.9470 5.4331
Pr 2.5571 -1.4651 5.4331
Dy 0.0000 0.0000 0.0000
! **Distance to the lowest polymorph of the same formula**: 0 meV per atom
! **ΔE_f**: 0.1779 eV/atom

(4)
! PBE K2SrCa, optimized geometry; values from VASP
&SYSTEM
  ibrav = 0, nat = 4, ntyp = 3
/
ATOMIC_SPECIES
K 39.10 K.upf
Sr 87.62 Sr.upf
Ca 40.08 Ca.upf
CELL_PARAMETERS angstrom
7.4777 -2.0839 0.0000
7.4777 2.0839 0.0000
-1.0574 0.0000 7.3498
ATOMIC_POSITIONS angstrom
K 3.4295 0.0000 1.7939
K 10.4685 0.0000 5.5558
Sr -0.5287 0.0000 3.6749
Ca 7.4777 0.0000 0.0000
! **ΔE_f**: 0.1326 eV/atom

(5)
! PBE Ca2CeAu9, optimized geometry; values from VASP
&SYSTEM
  ibrav = 0, nat = 12, ntyp = 3
/
ATOMIC_SPECIES
Ca 40.08 Ca.upf
Ce 140.12 Ce.upf
Au 196.97 Au.upf
CELL_PARAMETERS angstrom
2.8050 1.6195 9.5009
-2.8050 1.6195 9.5009
0.0000 -3.2389 9.5009
ATOMIC_POSITIONS angstrom
Ca 0.0000 0.0000 4.0600
Ca 0.0000 0.0000 24.4427
Ce 0.0000 0.0000 0.0000
Au -1.4125 -0.8155 11.9295
Au 0.0000 0.0000 9.4798
Au 0.0000 -1.6310 16.5732
Au -1.4125 0.8155 16.5732
Au 0.0000 0.0000 14.2513
Au 1.4125 -0.8155 11.9295
Au 0.0000 1.6310 11.9295
Au 0.0000 0.0000 19.0229
Au 1.4125 0.8155 16.5732
! **ΔE_f**: -0.5019 eV/atom

(6)
! PBE MgBSb2Te, optimized geometry; values from VASP
&SYSTEM
  ibrav = 0, nat = 5, ntyp = 4
/
ATOMIC_SPECIES
Mg 24.30 Mg.upf
B 10.81 B.upf
Sb 121.76 Sb.upf
Te 127.60 Te.upf
CELL_PARAMETERS angstrom
4.9271 0.0000 0.0000
0.0000 4.9271 0.0000
0.0000 0.0000 4.8861
ATOMIC_POSITIONS angstrom
Mg 0.0000 0.0000 0.0000
B 2.4635 2.4635 2.4431
Sb 0.0000 2.4635 2.4431
Sb 2.4635 0.0000 2.4431
Te 2.4635 2.4635 0.0000
! **Distance to the lowest polymorph of the same formula**: 0 meV per atom
! **E_form (uncorrected)**: 0.58 eV/atom

(7)
! PBE InSi3Rh3, optimized geometry; values from VASP
&SYSTEM
  ibrav = 0, nat = 14, ntyp = 3
/
ATOMIC_SPECIES
In 114.82 In.upf
Si 28.09 Si.upf
Rh 102.91 Rh.upf
CELL_PARAMETERS angstrom
6.5514 0.0000 0.0000
0.0000 6.5514 0.0000
0.0000 0.0000 6.5514
ATOMIC_POSITIONS angstrom
In 0.0000 0.0000 0.0000
In 3.2757 3.2757 3.2757
Si 0.0000 1.6378 3.2757
Si 0.0000 4.9135 3.2757
Si 1.6378 3.2757 0.0000
Si 3.2757 0.0000 1.6378
Si 3.2757 0.0000 4.9135
Si 4.9135 3.2757 0.0000
Rh 0.0000 3.2757 1.6378
Rh 0.0000 3.2757 4.9135
Rh 1.6378 0.0000 3.2757
Rh 3.2757 1.6378 0.0000
Rh 3.2757 4.9135 0.0000
Rh 4.9135 0.0000 3.2757
! **E_form (uncorrected)**: -0.16 eV/atom

(8)
! PBE ZnSiMo2, optimized geometry; values from VASP
&SYSTEM
  ibrav = 0, nat = 4, ntyp = 3
/
ATOMIC_SPECIES
Zn 65.41 Zn.upf
Si 28.09 Si.upf
Mo 95.94 Mo.upf
CELL_PARAMETERS angstrom
2.7268 0.0000 0.0000
0.0000 4.0840 0.0000
-1.1808 0.0000 5.2959
ATOMIC_POSITIONS angstrom
Zn 0.0000 0.0000 0.0000
Si 0.7730 0.0000 2.6479
Mo -0.1231 2.0420 3.9505
Mo 1.6691 2.0420 1.3454
! **Distance to the lowest polymorph of the same formula**: 68 meV per atom
! **E_form (uncorrected)**: 0.03 eV/atom

(9)
! PBE RhW2Cl, optimized geometry; values from VASP
&SYSTEM
  ibrav = 0, nat = 8, ntyp = 3
/
ATOMIC_SPECIES
Rh 102.91 Rh.upf
W 183.84 W.upf
Cl 35.45 Cl.upf
CELL_PARAMETERS angstrom
-2.8278 2.8278 5.1518
2.8278 -2.8278 5.1518
2.8278 2.8278 -5.1518
ATOMIC_POSITIONS angstrom
Rh 0.0000 0.0000 0.0000
Rh 0.0000 2.8278 2.5759
W 1.4139 -1.3565 3.8638
W 1.4713 1.4139 1.2879
W 1.4139 4.1844 -1.2879
W 1.3565 1.4139 6.4397
Cl 2.8278 0.0000 2.5759
Cl 0.0000 0.0000 5.1518
! **Distance to the lowest polymorph of the same formula**: 1173 meV per atom
! **E_form (uncorrected)**: 1.35 eV/atom

(10)
! PBE NbAlTe, optimized geometry; values from VASP
&SYSTEM
  ibrav = 0, nat = 3, ntyp = 3
/
ATOMIC_SPECIES
Nb 92.91 Nb.upf
Al 26.98 Al.upf
Te 127.60 Te.upf
CELL_PARAMETERS angstrom
3.3717 0.0000 0.0000
-1.6859 2.9200 0.0000
0.0000 0.0000 6.4820
ATOMIC_POSITIONS angstrom
Nb 0.0000 0.0000 0.0000
Al 0.0000 1.9467 1.9900
Te 1.6859 0.9733 4.5156
! **Distance to the lowest polymorph of the same formula**: 101 meV per atom
! **E_form (uncorrected)**: -0.11 eV/atom

(11)
! PBE ZnGa6Os, optimized geometry; values from VASP
&SYSTEM
  ibrav = 0, nat = 8, ntyp = 3
/
ATOMIC_SPECIES
Zn 65.41 Zn.upf
Ga 69.72 Ga.upf
Os 190.23 Os.upf
CELL_PARAMETERS angstrom
4.2567 2.4576 2.4683
-4.2567 2.4576 2.4683
0.0000 -4.9153 2.4683
ATOMIC_POSITIONS angstrom
Zn 0.0000 0.0000 0.0000
Ga 0.0000 -2.1395 2.5340
Ga -1.8528 1.0697 2.5340
Ga -1.8528 -1.0697 4.8709
Ga 1.8529 1.0697 2.5340
Ga 1.8528 -1.0697 4.8709
Ga 0.0000 2.1395 4.8709
Os 0.0000 0.0000 3.7024
! **ΔE_f**: 0.1016 eV/atom

(12)
! PBE LaAgSn, optimized geometry; values from VASP
&SYSTEM
  ibrav = 0, nat = 3, ntyp = 3
/
ATOMIC_SPECIES
La 138.91 La.upf
Ag 107.87 Ag.upf
Sn 118.71 Sn.upf
CELL_PARAMETERS angstrom
-1.5794 1.5794 8.5447
1.5794 -1.5794 8.5447
1.5794 1.5794 -8.5447
ATOMIC_POSITIONS angstrom
La 0.0000 0.0000 0.0000
Ag 0.0000 0.0000 13.9361
Sn 0.0000 0.0000 3.3049
! **ΔE_f**: 0.2887 eV/atom

(13)
! PBE CrCu2Au, optimized geometry; values from VASP
&SYSTEM
  ibrav = 0, nat = 4, ntyp = 3
/
ATOMIC_SPECIES
Cr 52.00 Cr.upf
Cu 63.55 Cu.upf
Au 196.97 Au.upf
CELL_PARAMETERS angstrom
-1.9505 1.9505 3.7682
1.9505 -1.9505 3.7682
1.9505 1.9505 -3.7682
ATOMIC_POSITIONS angstrom
Cr 0.0000 0.0000 0.0000
Cu 1.9505 0.0000 1.8841
Cu 0.0000 1.9505 1.8841
Au 0.0000 0.0000 3.7682
! **ΔE_f**: 0.1193 eV/atom

(14)
! PBE In2CuPd8, optimized geometry; values from VASP
&SYSTEM
  ibrav = 0, nat = 11, ntyp = 3
/
ATOMIC_SPECIES
In 114.82 In.upf
Cu 63.55 Cu.upf
Pd 106.42 Pd.upf
CELL_PARAMETERS angstrom
7.0646 -2.0717 0.0000
7.0646 2.0717 0.0000
-1.8495 0.0000 6.0387
ATOMIC_POSITIONS angstrom
In 2.8171 0.0000 0.9561
In 9.4627 0.0000 5.0826
Cu 6.1399 0.0000 3.0193
Pd 0.1124 0.0000 1.3937
Pd 0.7181 0.0000 4.1406
Pd 3.5418 0.0000 3.5654
Pd 5.6536 0.0000 0.3205
Pd 6.6261 0.0000 5.7181
Pd 8.7379 0.0000 2.4732
Pd 11.5616 0.0000 1.8981
Pd 12.1673 0.0000 4.6450
! **Distance to the lowest polymorph of the same formula**: 0 meV per atom
! **ΔE_f**: -0.2949 eV/atom

(15)
! PBE Y5PtAu2, optimized geometry; values from VASP
&SYSTEM
  ibrav = 0, nat = 16, ntyp = 3
/
ATOMIC_SPECIES
Y 88.91 Y.upf
Pt 195.08 Pt.upf
Au 196.97 Au.upf
CELL_PARAMETERS angstrom
7.0975 0.0000 0.0000
0.0000 11.9750 0.0000
0.0000 0.0000 4.8383
ATOMIC_POSITIONS angstrom
Y 0.0000 0.0000 0.0000
Y 1.1069 3.4601 0.0000
Y 1.2516 7.0703 2.4191
Y 2.2971 1.0828 2.4191
Y 2.4419 9.4476 0.0000
Y 3.5487 5.9875 0.0000
Y 4.6556 2.5274 0.0000
Y 4.8003 10.8922 2.4191
Y 5.8458 4.9047 2.4191
Y 5.9906 8.5149 0.0000
Pt 0.0000 5.9875 0.0000
Pt 3.5487 0.0000 0.0000
Au 0.5036 10.0526 2.4191
Au 3.0452 4.0651 2.4191
Au 4.0523 7.9099 2.4191
Au 6.5939 1.9224 2.4191
! **ΔE_f**: -0.7817 eV/atom

(16)
! PBE In2CoOs, optimized geometry; values from VASP
&SYSTEM
  ibrav = 0, nat = 4, ntyp = 3
/
ATOMIC_SPECIES
In 114.82 In.upf
Co 58.93 Co.upf
Os 190.23 Os.upf
CELL_PARAMETERS angstrom
-1.9730 1.9730 4.3148
1.9730 -1.9730 4.3148
1.9730 1.9730 -4.3148
ATOMIC_POSITIONS angstrom
In 0.0000 0.0000 0.0000
In 0.0000 1.9730 2.1574
Co 0.0000 0.0000 4.3148
Os 1.9730 0.0000 2.1574
! **ΔE_f**: 0.5018 eV/atom

(17)
! PBE Ta2ZnBr, optimized geometry; values from VASP
&SYSTEM
  ibrav = 0, nat = 4, ntyp = 3
/
ATOMIC_SPECIES
Ta 180.95 Ta.upf
Zn 65.41 Zn.upf
Br 79.90 Br.upf
CELL_PARAMETERS angstrom
3.1314 0.0000 0.0000
0.0000 4.7384 0.0000
0.0000 0.0000 4.9709
ATOMIC_POSITIONS angstrom
Ta 0.0000 0.0000 0.0000
Ta 1.5657 0.0000 2.4855
Zn 0.0000 2.3692 2.4855
Br 1.5657 2.3692 0.0000
! **Distance to the lowest polymorph of the same formula**: 405 meV per atom
! **E_form (uncorrected)**: 0.57 eV/atom

(18)
! PBE La2CeSm, optimized geometry; values from VASP
&SYSTEM
  ibrav = 0, nat = 4, ntyp = 3
/
ATOMIC_SPECIES
La 138.91 La.upf
Ce 140.12 Ce.upf
Sm 150.36 Sm.upf
CELL_PARAMETERS angstrom
3.5909 0.0000 0.0000
0.0000 3.5909 0.0000
0.0000 0.0000 10.3113
ATOMIC_POSITIONS angstrom
La 0.0000 0.0000 2.4071
La 0.0000 0.0000 7.9042
Ce 1.7954 1.7954 0.0000
Sm 1.7954 1.7954 5.1556
! **Distance to the lowest polymorph of the same formula**: 0 meV per atom
! **ΔE_f**: 0.0541 eV/atom

(19)
! PBE KTi3Os, optimized geometry; values from VASP
&SYSTEM
  ibrav = 0, nat = 5, ntyp = 3
/
ATOMIC_SPECIES
K 39.10 K.upf
Ti 47.87 Ti.upf
Os 190.23 Os.upf
CELL_PARAMETERS angstrom
4.9187 0.0000 0.0000
0.0000 4.9187 0.0000
0.0000 0.0000 4.9187
ATOMIC_POSITIONS angstrom
K 0.0000 0.0000 0.0000
Ti 0.0000 2.4593 2.4593
Ti 2.4593 0.0000 2.4593
Ti 2.4593 2.4593 0.0000
Os 2.4593 2.4593 2.4593
! **Distance to the lowest polymorph of the same formula**: 0 meV per atom
! **ΔE_f**: 0.5982 eV/atom

(20)
! PBE Er5CdRu, optimized geometry; values from VASP
&SYSTEM
  ibrav = 0, nat = 14, ntyp = 3
/
ATOMIC_SPECIES
Er 167.26 Er.upf
Cd 112.41 Cd.upf
Ru 101.07 Ru.upf
CELL_PARAMETERS angstrom
4.5588 -3.6785 0.0000
4.5588 3.6785 0.0000
-3.2238 0.0000 11.2809
ATOMIC_POSITIONS angstrom
Er 2.1410 3.6221 8.4607
Er 0.2569 1.2197 7.0426
Er 0.4177 1.2408 10.5402
Er 1.8688 -1.2197 1.4022
Er 3.8642 1.2408 6.3811
Er 2.0296 -1.2408 4.8998
Er 4.0250 1.2197 9.8787
Er 5.4761 -1.2408 0.7406
Er 5.6369 -1.2197 4.2383
Er 3.7528 -3.6221 2.8202
Cd 3.7528 0.7132 2.8202
Cd 2.1410 -0.7132 8.4607
Ru 0.0000 0.0000 0.0000
Ru -1.6119 0.0000 5.6404
! **ΔE_f**: -0.1409 eV/atom

(21)
! PBE KNaBi2O6, optimized geometry; values from VASP
&SYSTEM
  ibrav = 0, nat = 20, ntyp = 4
/
ATOMIC_SPECIES
K 39.10 K.upf
Na 22.99 Na.upf
Bi 208.98 Bi.upf
O 16.00 O.upf
CELL_PARAMETERS angstrom
8.3421 0.0000 0.0000
0.0000 5.9577 0.0000
0.0000 0.0000 5.9196
ATOMIC_POSITIONS angstrom
K 0.0000 1.3433 0.0000
K 4.1710 4.6144 2.9598
Na 0.0000 4.1874 3.1086
Na 4.1710 1.7703 0.1489
Bi 2.0777 4.4795 0.0367
Bi 2.0933 1.4782 2.9964
Bi 6.2487 1.4782 2.9964
Bi 6.2644 4.4795 0.0367
O 0.0000 1.7443 2.5592
O 0.0000 4.5450 0.6632
O 1.6688 2.8802 4.5913
O 1.6669 5.6921 4.1804
O 2.5041 0.2656 1.2207
O 2.5023 3.0775 1.6315
O 4.1710 1.4127 3.6230
O 4.1710 4.2134 5.5190
O 5.8379 0.2656 1.2207
O 5.8398 3.0775 1.6315
O 6.6733 2.8802 4.5913
O 6.6752 5.6921 4.1804
! **Distance to the lowest polymorph of the same formula**: 0 meV per atom
! **E_form (uncorrected)**: -1.08 eV/atom

(22)
! PBE GdErPu, optimized geometry; values from VASP
&SYSTEM
  ibrav = 0, nat = 3, ntyp = 3
/
ATOMIC_SPECIES
Gd 157.25 Gd.upf
Er 167.26 Er.upf
Pu 244.00 Pu.upf
CELL_PARAMETERS angstrom
-1.7491 1.7491 7.3234
1.7491 -1.7491 7.3234
1.7491 1.7491 -7.3234
ATOMIC_POSITIONS angstrom
Gd 0.0000 0.0000 0.0000
Er 0.0000 0.0000 4.8098
Pu 0.0000 0.0000 9.7435
! **Distance to the lowest polymorph of the same formula**: 0 meV per atom
! **ΔE_f**: 0.1006 eV/atom

(23)
! PBE KMnW2, optimized geometry; values from VASP
&SYSTEM
  ibrav = 0, nat = 4, ntyp = 3
/
ATOMIC_SPECIES
K 39.10 K.upf
Mn 54.94 Mn.upf
W 183.84 W.upf
CELL_PARAMETERS angstrom
-1.9231 1.9231 5.0848
1.9231 -1.9231 5.0848
1.9231 1.9231 -5.0848
ATOMIC_POSITIONS angstrom
K 0.0000 0.0000 0.0000
Mn 0.0000 0.0000 5.0848
W 1.9231 0.0000 2.5424
W 0.0000 1.9231 2.5424
! **Distance to the lowest polymorph of the same formula**: 862 meV per atom
! **ΔE_f**: 1.6928 eV/atom

(24)
! PBE TbYI3, optimized geometry; values from VASP
&SYSTEM
  ibrav = 0, nat = 10, ntyp = 3
/
ATOMIC_SPECIES
Tb 158.93 Tb.upf
Y 88.91 Y.upf
I 126.90 I.upf
CELL_PARAMETERS angstrom
10.8049 -2.0463 0.0000
10.8049 2.0463 0.0000
-4.4477 0.0000 10.3757
ATOMIC_POSITIONS angstrom
Tb 0.5643 0.0000 2.5617
Tb 16.5977 0.0000 7.8140
Y 9.1814 0.0000 0.3600
Y 7.9806 0.0000 10.0157
I -1.9537 0.0000 7.7553
I 3.3706 0.0000 1.3366
I 5.3538 0.0000 5.5726
I 11.8082 0.0000 4.8031
I 13.7914 0.0000 9.0391
I 19.1157 0.0000 2.6204
! **Distance to the lowest polymorph of the same formula**: 4 meV per atom
! **E_form (uncorrected)**: -1.12 eV/atom